Entry 1:
LaBIrRh2 (GGA-PBE, optimized geometry); space group = No. 123; formation energy = -644 meV/atom
1.0
4.321 0.000 0.000
0.000 4.321 0.000
0.000 0.000 4.247
La B Ir Rh
1 1 1 2
Direct
0.000 0.000 0.000
0.500 0.500 0.500
0.500 0.500 0.000
0.000 0.500 0.500
0.500 0.000 0.500

---

Entry 2:
LaB2IrRh (GGA-PBE, optimized geometry); space group = No. 119; formation energy = -662 meV/atom
1.0
3.888 0.000 0.000
0.000 3.888 0.000
0.000 0.000 10.307
La B Ir Rh
2 4 2 2
Direct
0.000 0.000 0.000
0.500 0.500 0.500
0.000 0.000 0.340
0.000 0.000 0.660
0.500 0.500 0.160
0.500 0.500 0.840
0.000 0.500 0.750
0.500 0.000 0.250
0.000 0.500 0.250
0.500 0.000 0.750

---

Entry 3:
LaBIrRu2 (GGA-PBE, optimized geometry); space group = No. 123; formation energy = -326 meV/atom
1.0
4.307 0.000 0.000
0.000 4.307 0.000
0.000 0.000 4.243
La B Ir Ru
1 1 1 2
Direct
0.000 0.000 0.000
0.500 0.500 0.500
0.500 0.500 0.000
0.000 0.500 0.500
0.500 0.000 0.500

---

Entry 4:
La2BIrRu (GGA-PBE, optimized geometry); space group = No. 123; formation energy = 786 meV/atom
1.0
5.431 0.000 0.000
0.000 5.431 0.000
0.000 0.000 4.661
La B Ir Ru
2 1 1 1
Direct
0.000 0.500 0.000
0.500 0.000 0.000
0.000 0.000 0.500
0.500 0.500 0.500
0.500 0.500 0.000

---

Entry 5:
LaBIrS2 (GGA-PBE, optimized geometry); space group = No. 123; energy relative to the elements, uncorrected = 1.52 eV/atom
1.0
5.529 0.000 0.000
0.000 5.529 0.000
0.000 0.000 5.276
La B Ir S
1 1 1 2
Direct
0.000 0.000 0.000
0.500 0.500 0.500
0.000 0.000 0.500
0.000 0.500 0.000
0.500 0.000 0.000

---

Entry 6:
La2Si2BIr2 (GGA-PBE, optimized geometry); space group = No. 12; energy relative to the elements, uncorrected = -0.91 eV/atom
1.0
11.405 0.000 0.000
0.000 4.214 0.000
-4.630 0.000 5.661
La Si B Ir
4 4 2 4
Direct
0.068 0.000 0.312
0.432 0.500 0.688
0.568 0.500 0.312
0.932 0.000 0.688
0.171 0.500 0.723
0.329 0.000 0.277
0.671 0.000 0.723
0.829 0.500 0.277
0.000 0.500 0.000
0.500 0.000 0.000
0.203 0.500 0.086
0.297 0.000 0.914
0.703 0.000 0.086
0.797 0.500 0.914

---

no.,calculated total energy (Ry per atom),magnetic moment (μB per formula unit)
1,-0.564,0.0
2,-0.556,0.0
3,-0.598,0.0
4,-0.452,0.0
5,-0.310,2.2
6,-0.540,0.0